Material: ZrSc2Rh
Method: DFT, PBE
State: optimized geometry

a b c (Å): 9.426 9.426 9.426
angles (deg): 19.59 19.59 19.59
Sites, in units of the cell vectors:
Rh 0.750 0.750 0.750
Sc 0.012 0.012 0.012
Sc 0.488 0.488 0.488
Zr 0.250 0.250 0.250

Calculated values
The calculation puts the energy above the most stable polymorph in this dataset at 0.183 eV per atom. The calculation puts the density of states at the Fermi level at 3.7 states/eV/cell.